Record 1
{
  "formula": "BaSr2Ru",
  "functional": "GGA-PBE",
  "state": "optimized geometry",
  "magmom_total_mub_per_atom": 0.2060,
  "de_polymorph_ev_per_atom": 0.1307,
  "e_form_ev_per_atom": 0.48,
  "lattice_angstrom": [[-8.9864, -4.0247, -6.2291], [-8.2511, -7.2597, -3.8692], [-10.5738, -4.2161, -2.4849]],
  "species": ["Ba", "Ru", "Sr", "Sr"],
  "fractional_positions": [[0.2500, 0.2500, 0.2500], [0.7500, 0.7500, 0.7500], [0.0280, 0.0280, 0.0280], [0.4720, 0.4720, 0.4720]]
}

=====

Record 2
{
  "formula": "Ba2SrZnRu",
  "functional": "GGA-PBE",
  "state": "optimized geometry",
  "magmom_total_mub_per_atom": 0.0000,
  "e_form_ev_per_atom": 0.45,
  "lattice_angstrom": [[-3.2332, -0.2443, 5.3771], [-4.0187, -1.2259, -2.4721], [1.4761, -6.0724, 0.6117]],
  "species": ["Ru", "Zn", "Ba", "Ba", "Sr"],
  "fractional_positions": [[0.0000, 0.5000, 0.0000], [0.0000, 0.0000, 0.0000], [0.0000, 0.0000, 0.5000], [0.5000, 0.0000, 0.0000], [0.5000, 0.5000, 0.5000]]
}

=====

Record 3
{
  "formula": "BaTaRu2",
  "functional": "GGA-PBE",
  "state": "optimized geometry",
  "magmom_total_mub_per_atom": 0.0888,
  "de_polymorph_ev_per_atom": 0.3790,
  "e_form_ev_per_atom": 0.52,
  "lattice_angstrom": [[7.3640, 1.0515, -0.3492], [4.8439, 5.6454, 0.3492], [-5.7130, -4.0611, 2.5150]],
  "species": ["Ba", "Ru", "Ru", "Ta"],
  "fractional_positions": [[0.2891, 0.7891, 0.5000], [0.0241, 0.0241, 0.0000], [0.6594, 0.1594, 0.5000], [0.5274, 0.5274, 0.0000]]
}

=====

Record 4
{
  "formula": "BaTaRu2",
  "functional": "GGA-PBE",
  "state": "optimized geometry",
  "magmom_total_mub_per_atom": 0.0000,
  "de_polymorph_ev_per_atom": 0.0000,
  "e_form_ev_per_atom": 0.14,
  "lattice_angstrom": [[-0.0190, -2.5029, -2.0499], [3.1756, -0.3475, 0.3948], [2.0180, -5.2534, 6.3959]],
  "species": ["Ba", "Ru", "Ru", "Ta"],
  "fractional_positions": [[0.5000, 0.7500, 0.7500], [0.0000, 0.9423, 0.0639], [0.0000, 0.5577, 0.4361], [0.5000, 0.2500, 0.2500]]
}

=====

Record 5
{
  "formula": "BaTa3Ru",
  "functional": "GGA-PBE",
  "state": "optimized geometry",
  "magmom_total_mub_per_atom": 0.0000,
  "de_polymorph_ev_per_atom": 2.2894,
  "e_form_ev_per_atom": 3.30,
  "lattice_angstrom": [[4.9649, 0.0000, 0.0000], [0.0000, 4.9649, 0.0000], [0.0000, 0.0000, 4.9649]],
  "species": ["Ru", "Ba", "Ta", "Ta", "Ta"],
  "fractional_positions": [[0.5000, 0.5000, 0.5000], [0.0000, 0.0000, 0.0000], [0.0000, 0.5000, 0.0000], [0.0000, 0.0000, 0.5000], [0.5000, 0.0000, 0.0000]]
}

=====

Record 6
{
  "formula": "BaTa2Ru2",
  "functional": "GGA-PBE",
  "state": "optimized geometry",
  "magmom_total_mub_per_atom": 0.0000,
  "e_form_ev_per_atom": -0.01,
  "lattice_angstrom": [[-1.4842, -0.5330, -4.0616], [0.6137, -4.3001, 0.3401], [-6.1319, -3.0583, 0.3052]],
  "species": ["Ru", "Ru", "Ba", "Ta", "Ta"],
  "fractional_positions": [[0.3636, 0.3636, 0.2727], [0.6364, 0.6364, 0.7273], [0.0000, 0.0000, 0.0000], [0.7500, 0.2500, 0.5000], [0.2500, 0.7500, 0.5000]]
}

=====

Record 7
{
  "formula": "BaTaRu2",
  "functional": "GGA-PBE",
  "state": "optimized geometry",
  "magmom_total_mub_per_atom": 0.0002,
  "de_polymorph_ev_per_atom": 0.3319,
  "e_form_ev_per_atom": 0.48,
  "lattice_angstrom": [[4.2115, 0.0000, 0.0000], [0.0000, 3.3654, 0.0809], [0.0000, 1.3956, 6.6491]],
  "species": ["Ba", "Ru", "Ru", "Ta"],
  "fractional_positions": [[0.5000, 0.7707, 0.7903], [0.0000, 0.1591, 0.0576], [0.5000, 0.0399, 0.3182], [0.0000, 0.5303, 0.3339]]
}

=====

Record 8
{
  "formula": "BaTaRu2",
  "functional": "GGA-PBE",
  "state": "optimized geometry",
  "magmom_total_mub_per_atom": 0.0002,
  "de_polymorph_ev_per_atom": 0.8810,
  "e_form_ev_per_atom": 1.03,
  "lattice_angstrom": [[4.7475, 0.0000, 0.0000], [2.3737, 4.1115, 0.0000], [2.3737, 1.3705, 3.8763]],
  "species": ["Ba", "Ru", "Ru", "Ta"],
  "fractional_positions": [[0.5000, 0.5000, 0.5000], [0.0000, 0.0000, 0.0000], [0.2500, 0.2500, 0.2500], [0.7500, 0.7500, 0.7500]]
}

=====

Record 9
{
  "formula": "BaTaRu4",
  "functional": "GGA-PBE",
  "state": "optimized geometry",
  "magmom_total_mub_per_atom": 0.0000,
  "e_form_ev_per_atom": 0.59,
  "lattice_angstrom": [[0.0000, 3.7794, 3.7794], [3.7794, 0.0000, 3.7794], [3.7794, 3.7794, 0.0000]],
  "species": ["Ba", "Ta", "Ru", "Ru", "Ru", "Ru"],
  "fractional_positions": [[0.0000, 0.0000, 0.0000], [0.7500, 0.7500, 0.7500], [0.8709, 0.3764, 0.3764], [0.3764, 0.3764, 0.8709], [0.3764, 0.8709, 0.3764], [0.3764, 0.3764, 0.3764]]
}

=====

Record 10
{
  "formula": "BaTaRu3",
  "functional": "GGA-PBE",
  "state": "optimized geometry",
  "magmom_total_mub_per_atom": 0.0000,
  "de_polymorph_ev_per_atom": 1.9178,
  "e_form_ev_per_atom": 2.81,
  "lattice_angstrom": [[-2.2534, 4.1352, 1.1419], [-4.2491, -2.3291, 0.0493], [0.5909, -0.9784, 4.7090]],
  "species": ["Ru", "Ru", "Ru", "Ba", "Ta"],
  "fractional_positions": [[0.0000, 0.5000, 0.0000], [0.0000, 0.0000, 0.5000], [0.5000, 0.0000, 0.0000], [0.0000, 0.0000, 0.0000], [0.5000, 0.5000, 0.5000]]
}

=====

Record 11
{
  "formula": "BaTaRu2",
  "functional": "GGA-PBE",
  "state": "optimized geometry",
  "magmom_total_mub_per_atom": 0.0000,
  "de_polymorph_ev_per_atom": 0.5615,
  "e_form_ev_per_atom": 0.71,
  "lattice_angstrom": [[2.9483, 0.0060, 0.0000], [-0.0060, 2.9483, 0.0000], [0.0000, 0.0000, 9.4482]],
  "species": ["Ba", "Ru", "Ru", "Ta"],
  "fractional_positions": [[0.5000, 0.5000, 0.7753], [0.0000, 0.0000, 0.0616], [0.5000, 0.5000, 0.2264], [0.0000, 0.0000, 0.4367]]
}

=====

Record 12
{
  "formula": "BaTa4Ru",
  "functional": "GGA-PBE",
  "state": "optimized geometry",
  "magmom_total_mub_per_atom": 0.0000,
  "e_form_ev_per_atom": 0.87,
  "lattice_angstrom": [[0.0000, 3.9777, 3.9777], [3.9777, 0.0000, 3.9777], [3.9777, 3.9777, 0.0000]],
  "species": ["Ba", "Ta", "Ta", "Ta", "Ta", "Ru"],
  "fractional_positions": [[0.7500, 0.7500, 0.7500], [0.8761, 0.3746, 0.3746], [0.3746, 0.3746, 0.8761], [0.3746, 0.8761, 0.3746], [0.3746, 0.3746, 0.3746], [0.0000, 0.0000, 0.0000]]
}

=====

Please write out number 4 again, unchanged.
{
  "formula": "BaTaRu2",
  "functional": "GGA-PBE",
  "state": "optimized geometry",
  "magmom_total_mub_per_atom": 0.0000,
  "de_polymorph_ev_per_atom": 0.0000,
  "e_form_ev_per_atom": 0.14,
  "lattice_angstrom": [[-0.0190, -2.5029, -2.0499], [3.1756, -0.3475, 0.3948], [2.0180, -5.2534, 6.3959]],
  "species": ["Ba", "Ru", "Ru", "Ta"],
  "fractional_positions": [[0.5000, 0.7500, 0.7500], [0.0000, 0.9423, 0.0639], [0.0000, 0.5577, 0.4361], [0.5000, 0.2500, 0.2500]]
}